Computed, not measured: crystalline TlBi3Pb at its relaxed geometry at the PBE level of DFT.

Unit cell a=5.6259 b=3.4289 c=16.7214 alpha=90.00 beta=90.00 gamma=90.00
Sites, in units of the cell vectors:
Tl (0.2500, 0.0000, 0.1583)
Tl (0.7500, 0.0000, 0.8417)
Bi (0.2500, 0.0000, 0.5547)
Bi (0.2500, 0.5000, 0.7567)
Bi (0.2500, 0.5000, 0.9519)
Bi (0.7500, 0.0000, 0.4453)
Bi (0.7500, 0.5000, 0.0481)
Bi (0.7500, 0.5000, 0.2433)
Pb (0.2500, 0.5000, 0.3587)
Pb (0.7500, 0.5000, 0.6413)

Symmetry: Pmma
E above lowest polymorph in eV/f.u.: 0.11
ΔH_f (0 K) in eV per atom: 0.02

---

Computed, not measured: crystalline AuSe3Cl at its relaxed geometry at the PBE level of DFT.

Unit cell a=4.9780 b=4.9780 c=4.9780 alpha=90.00 beta=90.00 gamma=90.00
Sites, in units of the cell vectors:
Au (0.0000, 0.0000, 0.0000)
Se (0.0000, 0.5000, 0.5000)
Se (0.5000, 0.0000, 0.5000)
Se (0.5000, 0.5000, 0.0000)
Cl (0.5000, 0.5000, 0.5000)

Symmetry: Pm-3m
E above lowest polymorph in eV/f.u.: 1.73
Formation energy from raw total energies in eV per atom: 1.08

---

Computed, not measured: crystalline HfMg at its relaxed geometry at the PBE level of DFT.

Unit cell a=3.0319 b=3.0319 c=11.4463 alpha=90.00 beta=90.00 gamma=120.00
Sites, in units of the cell vectors:
Hf (0.3333, 0.6667, 0.0000)
Hf (0.6667, 0.3333, 0.5000)
Mg (0.3333, 0.6667, 0.7318)
Mg (0.6667, 0.3333, 0.2318)

Symmetry: P6_3mc
ΔH_f (0 K) in eV per atom: 0.29

---

Number 1: spin magnetization 0.00 Bohr magnetons per cell. Number 2: spin magnetization 0.00 Bohr magnetons per cell. Number 3: spin magnetization 0.00 Bohr magnetons per cell.